No. 1
A geometry-optimized NaCl structure. Source: the Alexandria database, functional PBE-GGA.

Values from the calculation:
Symmetry: I4/m
Crystal system: tetragonal
Uncorrected energy in eV/atom: -3.30
Formation energy (no corrections) in eV/f.u.: -3.44

```
data_NaCl
_cell_length_a 11.150
_cell_length_b 11.150
_cell_length_c 4.662
_cell_angle_alpha 90.00
_cell_angle_beta 90.00
_cell_angle_gamma 90.00
_space_group_name_H-M_alt 'P 1'
_space_group_IT_number 1
_space_group_name_Hall 'P 1'
loop_
_atom_site_label
_atom_site_fract_x
_atom_site_fract_y
_atom_site_fract_z
_atom_site_occupancy
Na1 0.374 0.795 0.000 1
Na2 0.626 0.205 0.000 1
Na3 0.205 0.374 0.000 1
Na4 0.795 0.626 0.000 1
Na5 0.874 0.295 0.500 1
Na6 0.126 0.705 0.500 1
Na7 0.705 0.874 0.500 1
Na8 0.295 0.126 0.500 1
Cl1 0.387 0.210 0.000 1
Cl2 0.613 0.790 0.000 1
Cl3 0.790 0.387 0.000 1
Cl4 0.210 0.613 0.000 1
Cl5 0.887 0.710 0.500 1
Cl6 0.113 0.290 0.500 1
Cl7 0.290 0.887 0.500 1
Cl8 0.710 0.113 0.500 1
```



No. 2
A geometry-optimized Mn5CrFe2Re2 structure. Source: the Alexandria database, functional PBE-GGA.

Values from the calculation:
Symmetry: P4/mbm
Crystal system: tetragonal
Uncorrected energy in eV/atom: -9.52
Formation energy in meV/atom: 214

```
data_Mn5CrFe2Re2
_cell_length_a 3.712
_cell_length_b 8.021
_cell_length_c 8.021
_cell_angle_alpha 90.00
_cell_angle_beta 90.00
_cell_angle_gamma 90.00
_space_group_name_H-M_alt 'P 1'
_space_group_IT_number 1
_space_group_name_Hall 'P 1'
loop_
_atom_site_label
_atom_site_fract_x
_atom_site_fract_y
_atom_site_fract_z
_atom_site_occupancy
Mn1 0.500 0.197 0.066 1
Mn2 0.500 0.803 0.934 1
Mn3 0.500 0.066 0.803 1
Mn4 0.500 0.697 0.434 1
Mn5 0.500 0.934 0.197 1
Mn6 0.500 0.303 0.566 1
Mn7 0.500 0.566 0.697 1
Mn8 0.500 0.434 0.303 1
Mn9 0.500 0.500 0.000 1
Mn10 0.500 0.000 0.500 1
Cr1 0.000 0.000 0.000 1
Cr2 0.000 0.500 0.500 1
Fe1 0.000 0.125 0.625 1
Fe2 0.000 0.875 0.375 1
Fe3 0.000 0.625 0.875 1
Fe4 0.000 0.375 0.125 1
Re1 0.000 0.671 0.171 1
Re2 0.000 0.329 0.829 1
Re3 0.000 0.171 0.329 1
Re4 0.000 0.829 0.671 1
```



No. 3
A geometry-optimized K2VH4 structure. Source: the Alexandria database, functional PBE-GGA.

Values from the calculation:
Symmetry: I4/mmm
Crystal system: tetragonal
Uncorrected energy in eV/atom: -3.65

```
data_K2VH4
_cell_length_a 3.903
_cell_length_b 3.903
_cell_length_c 7.241
_cell_angle_alpha 74.37
_cell_angle_beta 74.37
_cell_angle_gamma 90.00
_space_group_name_H-M_alt 'P 1'
_space_group_IT_number 1
_space_group_name_Hall 'P 1'
loop_
_atom_site_label
_atom_site_fract_x
_atom_site_fract_y
_atom_site_fract_z
_atom_site_occupancy
H1 0.141 0.141 0.718 1
H2 0.859 0.859 0.282 1
H3 0.000 0.500 0.000 1
H4 0.500 0.000 0.000 1
K1 0.353 0.353 0.294 1
K2 0.647 0.647 0.706 1
V1 0.000 0.000 0.000 1
```



No. 4
A geometry-optimized Dy4PbS2N structure. Source: the Alexandria database, functional PBE-GGA.

Values from the calculation:
Symmetry: I-42m
Crystal system: tetragonal
Uncorrected energy in eV/atom: -6.17
Formation energy (no corrections) in eV/f.u.: -10.69

```
data_Dy4PbS2N
_cell_length_a 7.087
_cell_length_b 6.398
_cell_length_c 6.398
_cell_angle_alpha 67.26
_cell_angle_beta 56.37
_cell_angle_gamma 56.37
_space_group_name_H-M_alt 'P 1'
_space_group_IT_number 1
_space_group_name_Hall 'P 1'
loop_
_atom_site_label
_atom_site_fract_x
_atom_site_fract_y
_atom_site_fract_z
_atom_site_occupancy
Dy1 0.482 0.153 0.518 1
Dy2 0.153 0.847 0.482 1
Dy3 0.847 0.518 0.153 1
Dy4 0.518 0.482 0.847 1
Pb1 0.000 0.000 0.000 1
S1 0.250 0.250 0.250 1
S2 0.750 0.750 0.750 1
N1 0.500 0.500 0.500 1
```



No. 5
A geometry-optimized HoZnSn structure. Source: the Alexandria database, functional PBE-GGA.

Values from the calculation:
Symmetry: Cmcm
Crystal system: orthorhombic
Uncorrected energy in eV/atom: -3.60
Formation energy in meV/atom: -313

```
data_HoZnSn
_cell_length_a 4.986
_cell_length_b 4.986
_cell_length_c 6.165
_cell_angle_alpha 90.00
_cell_angle_beta 90.00
_cell_angle_gamma 110.05
_space_group_name_H-M_alt 'P 1'
_space_group_IT_number 1
_space_group_name_Hall 'P 1'
loop_
_atom_site_label
_atom_site_fract_x
_atom_site_fract_y
_atom_site_fract_z
_atom_site_occupancy
Ho1 0.337 0.663 0.250 1
Ho2 0.663 0.337 0.750 1
Zn1 0.000 0.000 0.000 1
Zn2 0.000 0.000 0.500 1
Sn1 0.710 0.290 0.250 1
Sn2 0.290 0.710 0.750 1
```



No. 6
A geometry-optimized In3HgBr structure. Source: the Alexandria database, functional PBE-GGA.

Values from the calculation:
Symmetry: Pm-3m
Crystal system: cubic
Energy above the lowest structure with this stoichiometry in meV per atom: 0
Uncorrected energy in eV/atom: -2.00
Formation energy (no corrections) in eV/f.u.: 0.21

```
data_In3HgBr
_cell_length_a 5.677
_cell_length_b 5.677
_cell_length_c 5.677
_cell_angle_alpha 90.00
_cell_angle_beta 90.00
_cell_angle_gamma 90.00
_space_group_name_H-M_alt 'P 1'
_space_group_IT_number 1
_space_group_name_Hall 'P 1'
loop_
_atom_site_label
_atom_site_fract_x
_atom_site_fract_y
_atom_site_fract_z
_atom_site_occupancy
Hg1 0.000 0.000 0.000 1
Br1 0.500 0.500 0.500 1
In1 0.000 0.500 0.000 1
In2 0.000 0.000 0.500 1
In3 0.500 0.000 0.000 1
```



No. 7
A geometry-optimized CrSbPd2Pt structure. Source: the Alexandria database, functional PBE-GGA.

Values from the calculation:
Symmetry: P4/mmm
Crystal system: tetragonal
Uncorrected energy in eV/atom: -5.32
Formation energy (no corrections) in eV/f.u.: 3.58

```
data_CrSbPd2Pt
_cell_length_a 4.626
_cell_length_b 4.641
_cell_length_c 4.626
_cell_angle_alpha 90.00
_cell_angle_beta 90.00
_cell_angle_gamma 90.00
_space_group_name_H-M_alt 'P 1'
_space_group_IT_number 1
_space_group_name_Hall 'P 1'
loop_
_atom_site_label
_atom_site_fract_x
_atom_site_fract_y
_atom_site_fract_z
_atom_site_occupancy
Sb1 0.500 0.500 0.500 1
Pd1 0.000 0.000 0.500 1
Pd2 0.500 0.000 0.000 1
Pt1 0.000 0.500 0.000 1
Cr1 0.000 0.000 0.000 1
```



No. 8
A geometry-optimized MnPRu2 structure. Source: the Alexandria database, functional PBE-GGA.

Values from the calculation:
Symmetry: Pmmm
Crystal system: orthorhombic
Energy above the lowest structure with this stoichiometry in meV per atom: 354
Uncorrected energy in eV/atom: -8.16
Formation energy in meV/atom: 127

```
data_MnPRu2
_cell_length_a 2.846
_cell_length_b 4.156
_cell_length_c 4.494
_cell_angle_alpha 90.00
_cell_angle_beta 90.00
_cell_angle_gamma 90.00
_space_group_name_H-M_alt 'P 1'
_space_group_IT_number 1
_space_group_name_Hall 'P 1'
loop_
_atom_site_label
_atom_site_fract_x
_atom_site_fract_y
_atom_site_fract_z
_atom_site_occupancy
Mn1 0.500 0.500 0.000 1
P1 0.000 0.500 0.500 1
Ru1 0.000 0.000 0.000 1
Ru2 0.500 0.000 0.500 1
```